Entry 1:
ScZnTc2C: relaxed, PBE.

Summary:
Magnetization   0.00 μB/f.u.
D(E_F)   4.1 states/eV/cell
Total energy   -7.6393 eV/atom
E_form   -127 meV per atom
Space-group type   No. 123

a b c (Å): 4.058 4.058 4.417
angles (deg): 90.00 90.00 90.00
Fractional positions:
1 Sc 0.000 0.000 0.500
2 C 0.000 0.000 0.000
3 Zn 0.500 0.500 0.500
4 Tc 0.000 0.500 0.000
5 Tc 0.500 0.000 0.000



Entry 2:
Sc2ZnTcC: relaxed, PBE.

Summary:
Magnetization   0.00 μB/f.u.
D(E_F)   2.3 states/eV/cell
Total energy   -7.1007 eV/atom
E_form   -395 meV per atom
Space-group type   No. 123

a b c (Å): 4.524 4.524 3.972
angles (deg): 90.00 90.00 90.00
Fractional positions:
1 Sc 0.000 0.500 0.000
2 Sc 0.500 0.000 0.000
3 C 0.000 0.000 0.000
4 Zn 0.500 0.500 0.500
5 Tc 0.000 0.000 0.500



Entry 3:
Zr2ScTcC: relaxed, PBE.

Summary:
Magnetization   0.01 μB/f.u.
D(E_F)   6.5 states/eV/cell
Total energy   -8.8581 eV/atom
E_form   -255 meV per atom
Space-group type   No. 123

a b c (Å): 4.707 4.707 4.008
angles (deg): 90.00 90.00 90.00
Fractional positions:
1 Sc 0.500 0.500 0.500
2 C 0.000 0.000 0.000
3 Tc 0.000 0.000 0.500
4 Zr 0.000 0.500 0.000
5 Zr 0.500 0.000 0.000



Entry 4:
Sc2TeC: relaxed, PBE.

Summary:
Magnetization   0.00 μB/f.u.
D(E_F)   0.7 states/eV/cell
Total energy   -7.1019 eV/atom
Formation energy from raw total energies   -0.845 eV/atom
Space-group type   No. 166

a b c (Å): 3.564 3.564 6.990
angles (deg): 104.77 90.00 120.00
Fractional positions:
1 Sc 0.275 0.049 0.323
2 Sc 0.725 0.951 0.677
3 Te 0.500 0.500 0.000
4 C 0.000 0.500 0.500



Q: Which value of D(E_F) does entry 2 give?
A: 2.3 states/eV/cell



Q: Among the records above, which one has the lowest D(E_F)?
A: Sc2TeC